No. 1
Below is a relaxed structure of CaLa3Ga4, with properties calculated at the PBE level.

a = 5.284 Å, b = 5.284 Å, c = 7.559 Å
α = 90.00°, β = 90.00°, γ = 90.00°
Fractional coordinates of all 8 atoms:
Ca 0.000 0.000 0.000
La 0.000 0.000 0.500
La 0.500 0.500 0.000
La 0.500 0.500 0.500
Ga 0.000 0.500 0.244
Ga 0.000 0.500 0.756
Ga 0.500 0.000 0.244
Ga 0.500 0.000 0.756

Summary:
The calculation puts the formation energy at -0.535 eV per atom. Its density of states at the Fermi level is 0.758 states/eV per atom. The volume is 211.0 Å³ per cell. The total energy comes out at -4.147 eV per atom.

No. 2
Below is a relaxed structure of CaLaGa4, with properties calculated at the PBE level.

a = 5.671 Å, b = 5.671 Å, c = 5.671 Å
α = 60.00°, β = 60.00°, γ = 60.00°
Fractional coordinates of all 6 atoms:
Ca 0.000 0.000 0.000
La 0.250 0.250 0.250
Ga 0.126 0.625 0.625
Ga 0.625 0.126 0.625
Ga 0.625 0.625 0.126
Ga 0.625 0.625 0.625

Summary:
The calculation puts the formation energy at -0.501 eV per atom. Its density of states at the Fermi level is 0.508 states/eV per atom. The volume is 128.9 Å³ per cell. The total energy comes out at -3.674 eV per atom. The value obtained for the energy relative to the lowest polymorph listed for this composition is 86 meV/atom.

No. 3
Below is a relaxed structure of CaLa2Ga, with properties calculated at the PBE level.

a = 3.913 Å, b = 10.046 Å, c = 7.008 Å
α = 90.00°, β = 106.20°, γ = 90.00°
Fractional coordinates of all 8 atoms:
Ca 0.058 0.250 0.117
Ca 0.942 0.750 0.883
La 0.355 0.053 0.711
La 0.355 0.447 0.711
La 0.645 0.553 0.289
La 0.645 0.947 0.289
Ga 0.264 0.750 0.525
Ga 0.736 0.250 0.475

Summary:
The calculation puts the formation energy at -0.238 eV per atom. Its density of states at the Fermi level is 1.265 states/eV per atom. The volume is 264.5 Å³ per cell. The total energy comes out at -3.959 eV per atom.